No. 1
The following is a GGA-PBE calculation of NdAsPtRh after structural relaxation, from Alexandria via LeMat-Bulk.

Output
Fermi-level density of states	3.03	states/eV/f.u.
E_tot	-6.253	eV/atom

Unit cell a=4.259 b=4.070 c=5.147 alpha=113.29 beta=90.00 gamma=90.00
Element x y z (fractional)
1 Nd 0.500 0.211 0.421
2 Pt 0.500 0.494 0.988
3 Rh 0.000 0.901 0.802
4 As 0.000 0.622 0.244

---

No. 2
The following is a GGA-PBE calculation of NdAs2PtRh2 after structural relaxation, from Alexandria via LeMat-Bulk.

Output
Fermi-level density of states	4.90	states/eV/f.u.
E_tot	-6.306	eV/atom

Unit cell a=4.212 b=6.667 c=8.755 alpha=90.00 beta=90.00 gamma=90.00
Element x y z (fractional)
1 Pt 0.000 0.000 0.000
2 Pt 0.500 0.500 0.500
3 As 0.500 0.244 0.700
4 As 0.500 0.756 0.300
5 As 0.000 0.256 0.200
6 As 0.000 0.744 0.800
7 Nd 0.500 0.500 0.000
8 Nd 0.000 0.000 0.500
9 Rh 0.000 0.415 0.704
10 Rh 0.500 0.085 0.204
11 Rh 0.000 0.585 0.296
12 Rh 0.500 0.915 0.796

---

No. 3
The following is a GGA-PBE calculation of Nd2ScAs3Pt4 after structural relaxation, from Alexandria via LeMat-Bulk.

Output
Fermi-level density of states	4.42	states/eV/f.u.
E_tot	-6.379	eV/atom

Unit cell a=4.253 b=4.253 c=11.138 alpha=90.00 beta=90.00 gamma=90.00
Element x y z (fractional)
1 Pt 0.500 0.000 0.644
2 Pt 0.000 0.000 0.000
3 Pt 0.000 0.500 0.356
4 Pt 0.500 0.500 0.000
5 As 0.000 0.500 0.134
6 As 0.500 0.000 0.866
7 As 0.000 0.000 0.500
8 Nd 0.500 0.000 0.221
9 Nd 0.000 0.500 0.779
10 Sc 0.500 0.500 0.500